(1)
The following is a DFT calculation (PBE-GGA) of crystalline K4Br2N at its relaxed geometry.

- Density: 1.3 g/cm3
- Space group: No. 139
- Raw total energy: -0.1986 Ry per atom
- Excess energy over the best structure of this formula in the dataset: 314 meV per atom

The structure in POSCAR format:
```
K4Br2N
1.0
-2.743 -4.127 2.407
2.477 1.145 4.786
-10.206 7.053 6.766
Br K N
2 4 1
Direct
0.425 0.425 0.150 Br
0.575 0.575 0.850 Br
0.686 0.686 0.628 K
0.314 0.314 0.372 K
0.500 0.000 0.000 K
0.000 0.500 0.000 K
0.000 0.000 0.000 N
```

(2)
The following is a DFT calculation (PBE-GGA) of crystalline LaYSc2Ni at its relaxed geometry.

- Density: 4.6 g/cm3
- Space group: No. 123
- Raw total energy: -0.4457 Ry per atom
- Excess energy over the best structure of this formula in the dataset: 0 meV per atom

The structure in POSCAR format:
```
LaYSc2Ni
1.0
-1.202 -4.550 1.938
4.798 -1.556 -0.677
1.237 1.723 4.812
Y Sc Ni La
1 2 1 1
Direct
0.000 0.000 0.500 Y
0.000 0.500 0.000 Sc
0.500 0.000 0.000 Sc
0.000 0.000 0.000 Ni
0.500 0.500 0.500 La
```

(3)
The following is a DFT calculation (PBE-GGA) of crystalline Dy6Tl2Co at its relaxed geometry.

- Density: 8.9 g/cm3
- Space group: No. 71
- Raw total energy: -0.3259 Ry per atom

The structure in POSCAR format:
```
Dy6Tl2Co
1.0
5.115 0.000 -0.196
0.000 7.200 0.000
-2.277 -3.600 7.387
Dy Co Tl
6 1 2
Direct
0.151 0.389 0.301 Dy
0.500 0.780 0.000 Dy
0.849 0.087 0.699 Dy
0.500 0.220 0.000 Dy
0.849 0.611 0.699 Dy
0.151 0.913 0.301 Dy
0.000 0.000 0.000 Co
0.333 0.333 0.666 Tl
0.667 0.667 0.334 Tl
```

(4)
The following is a DFT calculation (PBE-GGA) of crystalline Cs2Ti3AgO8 at its relaxed geometry.

- Density: 4.5 g/cm3
- Space group: No. 160
- Raw total energy: -0.5186 Ry per atom

The structure in POSCAR format:
```
Cs2Ti3AgO8
1.0
6.174 0.000 0.000
3.087 5.347 0.000
3.087 1.782 7.229
Ti O Cs Ag
3 8 2 1
Direct
0.494 0.494 0.008 Ti
0.494 0.004 0.008 Ti
0.004 0.494 0.008 Ti
0.329 0.752 0.167 O
0.710 0.710 0.869 O
0.674 0.223 0.881 O
0.223 0.674 0.881 O
0.279 0.279 0.162 O
0.752 0.329 0.167 O
0.752 0.752 0.167 O
0.223 0.223 0.881 O
0.497 0.497 0.510 Cs
0.133 0.133 0.600 Cs
0.929 0.929 0.212 Ag
```

(5)
The following is a DFT calculation (PBE-GGA) of crystalline Ba2TaOs at its relaxed geometry.

- Density: 10.3 g/cm3
- Space group: No. 12
- Raw total energy: -0.3938 Ry per atom
- Excess energy over the best structure of this formula in the dataset: 1069 meV per atom

The structure in POSCAR format:
```
Ba2TaOs
1.0
-3.475 -0.204 5.205
-2.579 -3.327 -5.271
0.196 -3.153 0.013
Os Ba Ta
1 2 1
Direct
0.500 0.500 0.000 Os
0.000 0.500 0.500 Ba
0.000 0.000 0.000 Ba
0.500 0.000 0.500 Ta
```

(6)
The following is a DFT calculation (PBE-GGA) of crystalline Sb7F29 at its relaxed geometry.

- Density: 3.9 g/cm3
- Space group: No. 14
- Raw total energy: -0.3391 Ry per atom

The structure in POSCAR format:
```
Sb7F29
1.0
13.691 0.000 0.000
0.000 8.645 -0.008
0.000 3.428 20.107
F Sb
116 28
Direct
0.308 0.085 0.342 F
0.648 0.473 0.438 F
0.916 0.099 0.878 F
0.155 0.199 0.624 F
0.922 0.952 0.047 F
0.846 0.480 0.433 F
0.581 0.847 0.212 F
0.346 0.520 0.067 F
0.999 0.342 0.367 F
0.458 0.875 0.357 F
0.730 0.604 0.174 F
0.001 0.658 0.633 F
0.919 0.847 0.712 F
0.480 0.317 0.520 F
0.897 0.098 0.324 F
0.055 0.326 0.864 F
0.146 0.598 0.429 F
0.659 0.338 0.716 F
0.637 0.543 0.296 F
0.397 0.902 0.176 F
0.808 0.915 0.158 F
0.845 0.801 0.376 F
0.148 0.527 0.062 F
0.937 0.070 0.447 F
0.958 0.125 0.143 F
0.653 0.397 0.575 F
0.751 0.226 0.495 F
0.584 0.099 0.378 F
0.251 0.774 0.005 F
0.469 0.321 0.021 F
0.252 0.345 0.490 F
0.437 0.930 0.053 F
0.347 0.603 0.425 F
0.063 0.930 0.553 F
0.167 0.438 0.708 F
0.742 0.283 0.333 F
0.136 0.114 0.423 F
0.852 0.795 0.882 F
0.249 0.774 0.505 F
0.333 0.438 0.208 F
0.646 0.402 0.071 F
0.352 0.527 0.562 F
0.242 0.717 0.167 F
0.248 0.345 0.990 F
0.969 0.679 0.479 F
0.354 0.598 0.929 F
0.945 0.674 0.136 F
0.223 0.995 0.221 F
0.852 0.473 0.938 F
0.137 0.457 0.204 F
0.103 0.902 0.676 F
0.360 0.676 0.783 F
0.042 0.875 0.857 F
0.864 0.886 0.577 F
0.636 0.886 0.077 F
0.472 0.142 0.268 F
0.038 0.889 0.372 F
0.277 0.995 0.721 F
0.462 0.889 0.872 F
0.501 0.342 0.867 F
0.555 0.674 0.636 F
0.972 0.858 0.232 F
0.655 0.801 0.876 F
0.752 0.655 0.010 F
0.419 0.153 0.788 F
0.364 0.114 0.923 F
0.020 0.317 0.020 F
0.084 0.901 0.122 F
0.258 0.717 0.667 F
0.230 0.396 0.326 F
0.777 0.005 0.779 F
0.854 0.402 0.571 F
0.341 0.662 0.284 F
0.270 0.396 0.826 F
0.640 0.324 0.217 F
0.192 0.085 0.842 F
0.528 0.858 0.732 F
0.770 0.604 0.674 F
0.692 0.915 0.658 F
0.654 0.480 0.933 F
0.748 0.655 0.510 F
0.031 0.321 0.521 F
0.159 0.662 0.784 F
0.416 0.901 0.622 F
0.603 0.098 0.824 F
0.154 0.520 0.567 F
0.841 0.338 0.216 F
0.667 0.562 0.792 F
0.499 0.658 0.133 F
0.422 0.048 0.453 F
0.542 0.125 0.643 F
0.363 0.457 0.704 F
0.078 0.048 0.953 F
0.148 0.205 0.118 F
0.563 0.070 0.947 F
0.140 0.676 0.283 F
0.980 0.683 0.980 F
0.081 0.153 0.288 F
0.445 0.326 0.364 F
0.345 0.199 0.124 F
0.352 0.205 0.618 F
0.749 0.226 0.995 F
0.758 0.283 0.833 F
0.520 0.683 0.480 F
0.863 0.543 0.796 F
0.153 0.603 0.925 F
0.833 0.562 0.292 F
0.723 0.005 0.279 F
0.028 0.142 0.768 F
0.578 0.952 0.547 F
0.962 0.111 0.628 F
0.860 0.324 0.717 F
0.648 0.795 0.382 F
0.531 0.679 0.979 F
0.538 0.111 0.128 F
0.847 0.397 0.075 F
0.969 0.652 0.890 Sb
0.479 0.122 0.872 Sb
0.036 0.340 0.613 Sb
0.262 0.553 0.750 Sb
0.964 0.660 0.387 Sb
0.531 0.652 0.390 Sb
0.521 0.878 0.128 Sb
0.249 0.562 0.493 Sb
0.749 0.438 0.007 Sb
0.536 0.660 0.887 Sb
0.246 0.983 0.131 Sb
0.021 0.122 0.372 Sb
0.941 0.892 0.140 Sb
0.738 0.447 0.250 Sb
0.254 0.983 0.631 Sb
0.464 0.340 0.113 Sb
0.251 0.562 0.993 Sb
0.751 0.438 0.507 Sb
0.469 0.348 0.610 Sb
0.059 0.108 0.860 Sb
0.979 0.878 0.628 Sb
0.746 0.017 0.369 Sb
0.559 0.892 0.640 Sb
0.031 0.348 0.110 Sb
0.762 0.447 0.750 Sb
0.754 0.017 0.869 Sb
0.238 0.553 0.250 Sb
0.441 0.108 0.360 Sb
```

(7)
The following is a DFT calculation (PBE-GGA) of crystalline LaFe2Te at its relaxed geometry.

- Density: 7.5 g/cm3
- Space group: No. 160
- Raw total energy: -0.4797 Ry per atom

The structure in POSCAR format:
```
LaFe2Te
1.0
-0.053 -4.076 -0.878
-0.724 -2.776 3.026
-5.685 -1.991 -0.315
La Te Fe
1 1 2
Direct
0.489 0.489 0.531 La
0.291 0.291 0.127 Te
0.702 0.702 0.894 Fe
0.017 0.017 0.948 Fe
```

(8)
The following is a DFT calculation (PBE-GGA) of crystalline HfTlSe4 at its relaxed geometry.

- Density: 6.7 g/cm3
- Space group: No. 15
- Raw total energy: -0.3688 Ry per atom

The structure in POSCAR format:
```
HfTlSe4
1.0
6.338 -0.023 -2.756
-2.775 7.347 -3.905
0.155 -0.576 7.760
Se Tl Hf
8 2 2
Direct
0.356 0.978 0.682 Se
0.585 0.289 0.104 Se
0.018 0.814 0.104 Se
0.826 0.704 0.682 Se
0.644 0.022 0.318 Se
0.982 0.186 0.896 Se
0.174 0.296 0.318 Se
0.415 0.711 0.896 Se
0.381 0.631 0.262 Tl
0.619 0.369 0.738 Tl
0.251 0.001 0.001 Hf
0.749 0.999 0.999 Hf
```

(9)
The following is a DFT calculation (PBE-GGA) of crystalline B2IrPt3 at its relaxed geometry.

- Density: 16.8 g/cm3
- Space group: No. 12
- Raw total energy: -0.5104 Ry per atom

The structure in POSCAR format:
```
B2IrPt3
1.0
3.400 0.000 0.692
1.381 6.001 1.911
0.128 1.047 8.071
Ir B Pt
2 4 6
Direct
0.429 0.456 0.685 Ir
0.571 0.544 0.315 Ir
0.389 0.798 0.425 B
0.872 0.400 0.856 B
0.611 0.202 0.575 B
0.128 0.600 0.144 B
0.797 0.826 0.581 Pt
0.679 0.695 0.948 Pt
0.939 0.924 0.198 Pt
0.061 0.076 0.802 Pt
0.321 0.305 0.052 Pt
0.203 0.174 0.419 Pt
```

(10)
The following is a DFT calculation (PBE-GGA) of crystalline CdBi2Pb3 at its relaxed geometry.

- Density: 10.3 g/cm3
- Space group: No. 62
- Raw total energy: -0.2407 Ry per atom
- Excess energy over the best structure of this formula in the dataset: 0 meV per atom

The structure in POSCAR format:
```
CdBi2Pb3
1.0
5.166 0.000 0.000
0.000 10.490 0.000
0.000 0.000 13.701
Bi Pb Cd
8 12 4
Direct
0.750 0.930 0.706 Bi
0.250 0.731 0.528 Bi
0.750 0.570 0.206 Bi
0.250 0.769 0.028 Bi
0.250 0.070 0.294 Bi
0.750 0.231 0.972 Bi
0.250 0.430 0.794 Bi
0.750 0.269 0.472 Bi
0.750 0.261 0.710 Pb
0.750 0.905 0.179 Pb
0.250 0.405 0.321 Pb
0.750 0.577 0.941 Pb
0.250 0.423 0.059 Pb
0.750 0.923 0.441 Pb
0.250 0.095 0.821 Pb
0.250 0.761 0.790 Pb
0.750 0.239 0.210 Pb
0.250 0.077 0.559 Pb
0.750 0.595 0.679 Pb
0.250 0.739 0.290 Pb
0.250 0.078 0.062 Cd
0.750 0.922 0.938 Cd
0.250 0.422 0.562 Cd
0.750 0.578 0.438 Cd
```

(11)
The following is a DFT calculation (PBE-GGA) of crystalline MgAl3Pt2 at its relaxed geometry.

- Density: 8.0 g/cm3
- Space group: No. 12
- Raw total energy: -0.3607 Ry per atom

The structure in POSCAR format:
```
MgAl3Pt2
1.0
4.145 0.000 0.000
-2.073 8.146 -3.037
0.000 -0.764 9.393
Pt Al Mg
6 9 3
Direct
0.365 0.729 0.546 Pt
0.192 0.385 0.126 Pt
0.532 0.064 0.817 Pt
0.468 0.936 0.183 Pt
0.635 0.271 0.454 Pt
0.808 0.615 0.874 Pt
0.690 0.379 0.961 Al
0.616 0.233 0.168 Al
0.031 0.061 0.347 Al
0.384 0.767 0.832 Al
0.500 0.000 0.500 Al
0.969 0.939 0.653 Al
0.207 0.414 0.398 Al
0.310 0.621 0.039 Al
0.793 0.586 0.602 Al
0.835 0.671 0.307 Mg
0.165 0.329 0.693 Mg
0.000 0.000 0.000 Mg
```

(12)
The following is a DFT calculation (PBE-GGA) of crystalline RbVGe2Cl8 at its relaxed geometry.

- Density: 2.6 g/cm3
- Space group: No. 2
- Raw total energy: -0.2919 Ry per atom

The structure in POSCAR format:
```
RbVGe2Cl8
1.0
0.773 -5.564 5.032
3.421 1.188 5.091
-7.188 3.284 3.644
Cl Rb Ge V
8 1 2 1
Direct
0.318 0.346 0.576 Cl
0.262 0.989 0.848 Cl
0.021 0.308 0.167 Cl
0.738 0.011 0.152 Cl
0.756 0.289 0.835 Cl
0.244 0.711 0.165 Cl
0.979 0.692 0.833 Cl
0.682 0.654 0.424 Cl
0.000 0.000 0.500 Rb
0.330 0.355 0.839 Ge
0.670 0.645 0.161 Ge
0.000 0.000 0.000 V
```

(13)
The following is a DFT calculation (PBE-GGA) of crystalline SmDy3Tm2 at its relaxed geometry.

- Density: 8.6 g/cm3
- Space group: No. 2
- Raw total energy: -0.3368 Ry per atom
- Excess energy over the best structure of this formula in the dataset: 0 meV per atom

The structure in POSCAR format:
```
SmDy3Tm2
1.0
-4.105 -5.328 2.372
2.167 1.108 -9.823
7.097 -0.612 0.204
Dy Tm Sm
6 4 2
Direct
0.749 0.999 0.249 Dy
0.196 0.336 0.139 Dy
0.251 0.001 0.751 Dy
0.804 0.664 0.861 Dy
0.804 0.665 0.361 Dy
0.196 0.335 0.639 Dy
0.303 0.664 0.360 Tm
0.303 0.665 0.860 Tm
0.697 0.336 0.640 Tm
0.697 0.335 0.140 Tm
0.748 0.999 0.749 Sm
0.252 0.001 0.251 Sm
```

(14)
The following is a DFT calculation (PBE-GGA) of crystalline CsRbCl2 at its relaxed geometry.

- Density: 3.0 g/cm3
- Space group: No. 160
- Raw total energy: -0.2433 Ry per atom
- Excess energy over the best structure of this formula in the dataset: 20 meV per atom

The structure in POSCAR format:
```
CsRbCl2
1.0
-1.564 4.470 0.522
-1.814 1.417 4.172
6.399 4.305 4.040
Rb Cl Cs
1 2 1
Direct
0.668 0.668 0.996 Rb
0.079 0.079 0.764 Cl
0.255 0.255 0.236 Cl
0.498 0.498 0.504 Cs
```

(15)
The following is a DFT calculation (PBE-GGA) of crystalline MnIn3Sb at its relaxed geometry.

- Density: 6.3 g/cm3
- Space group: No. 221
- Raw total energy: -0.2889 Ry per atom
- Excess energy over the best structure of this formula in the dataset: 0 meV per atom

The structure in POSCAR format:
```
MnIn3Sb
1.0
-1.316 -1.046 -4.873
4.958 -0.796 -1.168
-0.515 -4.985 1.209
Sb In Mn
1 3 1
Direct
0.500 0.500 0.500 Sb
0.000 0.500 0.000 In
0.500 0.000 0.000 In
0.000 0.000 0.500 In
0.000 0.000 0.000 Mn
```

(16)
The following is a DFT calculation (PBE-GGA) of crystalline CaPm6Nd4 at its relaxed geometry.

- Density: 6.2 g/cm3
- Space group: No. 121
- Raw total energy: -0.3085 Ry per atom
- Excess energy over the best structure of this formula in the dataset: 0 meV per atom

The structure in POSCAR format:
```
CaPm6Nd4
1.0
-3.979 3.147 -8.637
-2.283 -5.519 8.041
1.549 3.074 9.406
Ca Nd Pm
1 4 6
Direct
0.000 0.000 0.000 Ca
0.000 0.006 0.633 Nd
0.627 0.994 0.994 Nd
0.373 0.367 0.367 Nd
0.000 0.633 0.006 Nd
0.000 0.456 0.796 Pm
0.340 0.544 0.544 Pm
0.500 0.500 0.000 Pm
0.660 0.204 0.204 Pm
0.000 0.796 0.456 Pm
0.500 0.000 0.500 Pm
```

N(E_F) / states/eV per atom: 0.573 1.488 0.899 0.234 1.139 0.000 0.732 0.561 0.282 0.378 0.207 0.563 1.250 0.000 0.652 1.654